RbZnN3: relaxed, GGA-PBEsol.

The formation energy (no corrections) comes out at 316 kJ per mole of atoms. For the total magnetic moment, the calculation gives 3.77 μB/f.u.

Lattice parameters (Å, degrees): 4.434 4.434 4.434 90.00 90.00 90.00
Fractional positions:
1 Rb 0.000 0.000 0.000
2 Zn 0.500 0.500 0.500
3 N 0.000 0.000 0.500
4 N 0.000 0.500 0.000
5 N 0.500 0.000 0.000